Below is crystalline NbVHg2As at its relaxed geometry, with properties calculated at the PBE level.

Properties
magnetic moment: 0.1422 μB/atom
formation energy: 1122 meV per atom
raw total energy: -18.8 eV for the cell shown

```
data_NbVHg2As
_chemical_formula_sum 'Nb1 V1 Hg2 As1'
_space_group_name_H-M_alt 'P 4/m m m'
_space_group_IT_number 123
_space_group_name_Hall '-P 4 2'
_cell_length_a 5.131
_cell_length_b 5.131
_cell_length_c 4.656
_cell_angle_alpha 90.00
_cell_angle_beta 90.00
_cell_angle_gamma 90.00
loop_
_atom_site_label
_atom_site_fract_x
_atom_site_fract_y
_atom_site_fract_z
Nb1 0.000 0.000 0.000
V1 0.500 0.500 0.000
Hg1 0.000 0.500 0.500
As1 0.500 0.500 0.500
```

Below is crystalline Zr2NbHgAs at its relaxed geometry, with properties calculated at the PBE level.

Properties
magnetic moment: 0.0000 μB/atom
formation energy: 918 meV per atom
raw total energy: -27.5 eV for the cell shown

```
data_Zr2NbHgAs
_chemical_formula_sum 'Zr2 Nb1 Hg1 As1'
_space_group_name_H-M_alt 'P 4/m m m'
_space_group_IT_number 123
_space_group_name_Hall '-P 4 2'
_cell_length_a 5.069
_cell_length_b 5.069
_cell_length_c 5.260
_cell_angle_alpha 90.00
_cell_angle_beta 90.00
_cell_angle_gamma 90.00
loop_
_atom_site_label
_atom_site_fract_x
_atom_site_fract_y
_atom_site_fract_z
Zr1 0.000 0.500 0.000
Nb1 0.000 0.000 0.000
Hg1 0.000 0.000 0.500
As1 0.500 0.500 0.500
```

Below is crystalline NdHgAs2 at its relaxed geometry, with properties calculated at the PBE level.

Properties
magnetic moment: 0.0000 μB/atom
formation energy: -560 meV per atom
raw total energy: -16.6 eV for the cell shown

```
data_NdHgAs2
_chemical_formula_sum 'Nd1 Hg1 As2'
_space_group_name_H-M_alt 'P 4/m m m'
_space_group_IT_number 123
_space_group_name_Hall '-P 4 2'
_cell_length_a 4.771
_cell_length_b 4.771
_cell_length_c 4.010
_cell_angle_alpha 90.00
_cell_angle_beta 90.00
_cell_angle_gamma 90.00
loop_
_atom_site_label
_atom_site_fract_x
_atom_site_fract_y
_atom_site_fract_z
Nd1 0.000 0.000 0.000
Hg1 0.500 0.500 0.000
As1 0.000 0.500 0.500
```

Below is crystalline Nd3HgAs2 at its relaxed geometry, with properties calculated at the PBE level.

Properties
magnetic moment: 0.0000 μB/atom
formation energy: -795 meV per atom
raw total energy: -114.7 eV for the cell shown

```
data_Nd3HgAs2
_chemical_formula_sum 'Nd12 Hg4 As8'
_space_group_name_H-M_alt 'C m c m'
_space_group_IT_number 63
_space_group_name_Hall '-C 2c 2'
_cell_length_a 5.108
_cell_length_b 13.076
_cell_length_c 10.596
_cell_angle_alpha 90.00
_cell_angle_beta 90.00
_cell_angle_gamma 90.00
loop_
_atom_site_label
_atom_site_fract_x
_atom_site_fract_y
_atom_site_fract_z
Nd1 0.000 0.101 0.250
Nd2 0.000 0.371 0.049
Hg1 0.000 0.229 0.750
As1 0.000 0.000 0.000
As2 0.000 0.485 0.750
```

Below is crystalline NdHgAs at its relaxed geometry, with properties calculated at the PBE level.

Properties
magnetic moment: 0.0000 μB/atom
formation energy: -661 meV per atom
raw total energy: -70.2 eV for the cell shown

```
data_NdHgAs
_chemical_formula_sum 'Nd6 Hg6 As6'
_space_group_name_H-M_alt 'R -3 m'
_space_group_IT_number 166
_space_group_name_Hall '-R 3 2"'
_cell_length_a 4.9915
_cell_length_b 4.9915
_cell_length_c 26.1731
_cell_angle_alpha 90.00
_cell_angle_beta 90.00
_cell_angle_gamma 120.00
loop_
_atom_site_label
_atom_site_fract_x
_atom_site_fract_y
_atom_site_fract_z
Nd1 0.0000 0.0000 0.1055
Hg1 0.0000 0.0000 0.3258
As1 0.0000 0.0000 0.2161
```

Below is crystalline Nd2HgAs3Pd4 at its relaxed geometry, with properties calculated at the PBE level.

Properties
magnetic moment: 0.0000 μB/atom
formation energy: -765 meV per atom
raw total energy: -52.2 eV for the cell shown

```
data_Nd2HgAs3Pd4
_chemical_formula_sum 'Nd2 Hg1 As3 Pd4'
_space_group_name_H-M_alt 'P -4 m 2'
_space_group_IT_number 115
_space_group_name_Hall 'P -4 -2'
_cell_length_a 4.262
_cell_length_b 4.262
_cell_length_c 11.099
_cell_angle_alpha 90.00
_cell_angle_beta 90.00
_cell_angle_gamma 90.00
loop_
_atom_site_label
_atom_site_fract_x
_atom_site_fract_y
_atom_site_fract_z
Nd1 0.000 0.500 0.231
Hg1 0.000 0.000 0.500
As1 0.000 0.500 0.869
As2 0.500 0.500 0.500
Pd1 0.000 0.000 0.000
Pd2 0.000 0.500 0.652
Pd3 0.500 0.500 0.000
```

no.,density of states at the Fermi level (states/eV/cell)
1,4.527
2,5.398
3,1.693
4,17.779
5,6.233
6,5.472